Entry from Alexandria: a geometry-optimized IrOs2Au structure (PBE-GGA).

Geometry as extended XYZ:
```
4
Lattice="-1.3657 2.3003 5.0734 1.3657 -2.3003 5.0734 1.3657 2.3003 -5.0734" Properties=species:S:1:pos:R:3 pbc="T T T"
Ir 0.0000 0.0000 0.0000
Os 1.3657 0.0000 2.2436
Os 0.0000 2.3003 2.8298
Au 0.0000 0.0000 5.0734
```

## Properties
Crystal system: orthorhombic
Energy in eV per atom: -8.07
Symmetry: No. 71
Density of states at the Fermi level in states/eV per atom: 0.964
Calculated formation energy in meV per atom: 582.3
Energy relative to the lowest polymorph listed for this composition in meV per atom: 326.8